(1)
Crystalline LiYZr3 at its relaxed geometry, computed with PBE-GGA.

Cell lengths 5.3040, 5.3040, 5.3040 Å; angles 90.00, 90.00, 90.00 degrees
Space group Pm-3m (No. 221)
Symmetry-distinct sites (fractional):
Li 0.0000 0.0000 0.0000 [1 per cell]
Y 0.5000 0.5000 0.5000 [1 per cell]
Zr 0.0000 0.5000 0.5000 [3 per cell]

Formation enthalpy at 0 K in eV per atom: 1.379
Mass density in Mg/m³: 4.1
Fermi-level density of states in states/eV/atom: 1.759
Magnetic moment in μB/cell: 0.000
Excess energy over the best structure of this formula in the dataset in meV per atom: 740.6
Uncorrected energy in eV/atom: -5.43

---

(2)
Crystalline K3CdAu3 at its relaxed geometry, computed with PBE-GGA.

Cell lengths 12.2435, 4.8059, 16.1934 Å; angles 90.00, 111.91, 90.00 degrees
Space group C2/m (No. 12)
Symmetry-distinct sites (fractional):
K 0.0208 0.0000 0.2708 [4 per cell]
K 0.1407 0.5000 0.1249 [4 per cell]
K 0.1790 0.0000 0.5754 [4 per cell]
Cd 0.1716 0.5000 0.9130 [4 per cell]
Au 0.0279 0.5000 0.4209 [4 per cell]
Au 0.0835 0.0000 0.9602 [4 per cell]
Au 0.1841 0.5000 0.7375 [4 per cell]

Formation enthalpy at 0 K in eV per atom: -0.296
Mass density in Mg/m³: 6.2
Fermi-level density of states in states/eV/atom: 0.292
Magnetic moment in μB/cell: 0.000
Excess energy over the best structure of this formula in the dataset in meV per atom: 0.0
Uncorrected energy in eV/atom: -2.30

---

(3)
Crystalline GaTe2CN at its relaxed geometry, computed with PBE-GGA.

Cell lengths 6.4814, 6.4814, 2.6458 Å; angles 90.00, 90.00, 90.00 degrees
Space group P4/mmm (No. 123)
Symmetry-distinct sites (fractional):
Ga 0.0000 0.0000 0.0000 [1 per cell]
Te 0.0000 0.5000 0.5000 [2 per cell]
C 0.5000 0.5000 0.5000 [1 per cell]
N 0.5000 0.5000 0.0000 [1 per cell]

Mass density in Mg/m³: 5.2
Fermi-level density of states in states/eV/atom: 0.232
Magnetic moment in μB/cell: 0.000
Excess energy over the best structure of this formula in the dataset in meV per atom: 0.0
Uncorrected energy in eV/atom: -4.59
Uncorrected formation energy in eV per atom: 0.786

---

(4)
Crystalline Na2PtBr4 at its relaxed geometry, computed with PBE-GGA.

Cell lengths 7.2332, 7.2332, 7.9847 Å; angles 90.00, 90.00, 90.00 degrees
Space group I4/mmm (No. 139)
Symmetry-distinct sites (fractional):
Na 0.0000 0.5000 0.2500 [4 per cell]
Pt 0.0000 0.0000 0.0000 [2 per cell]
Br 0.2401 0.2401 0.0000 [8 per cell]

Mass density in Mg/m³: 4.5
Fermi-level density of states in states/eV/atom: 0.000
Magnetic moment in μB/cell: 0.000
Uncorrected energy in eV/atom: -3.15
Uncorrected formation energy in eV per atom: -0.950

---

(5)
Crystalline SrSbS2 at its relaxed geometry, computed with PBE-GGA.

Cell lengths 5.8743, 5.8743, 15.3437 Å; angles 90.00, 90.00, 90.00 degrees
Space group I-42d (No. 122)
Symmetry-distinct sites (fractional):
Sr 0.0000 0.0000 0.0000 [4 per cell]
Sb 0.0000 0.0000 0.5000 [4 per cell]
S 0.2163 0.2500 0.6250 [8 per cell]

Mass density in Mg/m³: 3.4
Fermi-level density of states in states/eV/atom: 0.363
Magnetic moment in μB/cell: 0.000
Uncorrected energy in eV/atom: -4.30
Uncorrected formation energy in eV per atom: -0.787

---

(6)
Crystalline Y2SiNi at its relaxed geometry, computed with PBE-GGA.

Cell lengths 4.8342, 4.8342, 3.5527 Å; angles 90.00, 90.00, 90.00 degrees
Space group P4/mmm (No. 123)
Symmetry-distinct sites (fractional):
Y 0.0000 0.5000 0.0000 [2 per cell]
Si 0.0000 0.0000 0.5000 [1 per cell]
Ni 0.5000 0.5000 0.5000 [1 per cell]

Mass density in Mg/m³: 5.3
Fermi-level density of states in states/eV/atom: 0.683
Magnetic moment in μB/cell: 0.000
Uncorrected energy in eV/atom: -6.49
Uncorrected formation energy in eV per atom: -0.458

---

(7)
Crystalline AcPrSbN at its relaxed geometry, computed with PBE-GGA.

Cell lengths 3.7475, 4.1535, 14.3083 Å; angles 90.00, 90.00, 90.00 degrees
Space group Imm2 (No. 44)
Symmetry-distinct sites (fractional):
Ac 0.0000 0.0000 0.0000 [2 per cell]
Pr 0.0000 0.0000 0.2953 [2 per cell]
Sb 0.0000 0.0000 0.6587 [2 per cell]
N 0.0000 0.5000 0.8994 [2 per cell]

Mass density in Mg/m³: 7.5
Fermi-level density of states in states/eV/atom: 0.651
Magnetic moment in μB/cell: 0.356
Uncorrected energy in eV/atom: -6.33
Uncorrected formation energy in eV per atom: -0.992

---

(8)
Crystalline AlFe2Ir at its relaxed geometry, computed with PBE-GGA.

Cell lengths 2.7490, 2.7490, 24.1679 Å; angles 90.00, 90.00, 120.00 degrees
Space group R3m (No. 160, hexagonal axes)
Symmetry-distinct sites (fractional):
Al 0.0000 0.0000 0.0000 [3 per cell]
Fe 0.0000 0.0000 0.4934 [3 per cell]
Fe 0.0000 0.0000 0.7494 [3 per cell]
Ir 0.0000 0.0000 0.2474 [3 per cell]

Formation enthalpy at 0 K in eV per atom: -0.093
Mass density in Mg/m³: 10.4
Fermi-level density of states in states/eV/atom: 1.190
Magnetic moment in μB/cell: 13.449
Uncorrected energy in eV/atom: -7.48

---

(9)
Crystalline Pm2Sm4Tl at its relaxed geometry, computed with PBE-GGA.

Cell lengths 6.6288, 6.4064, 10.8633 Å; angles 90.00, 90.00, 90.00 degrees
Space group Pmna (No. 53)
Symmetry-distinct sites (fractional):
Pm 0.0000 0.2444 0.0398 [4 per cell]
Sm 0.0000 0.0701 0.3455 [4 per cell]
Sm 0.2500 0.4003 0.7500 [4 per cell]
Tl 0.0000 0.5000 0.5000 [2 per cell]

Formation enthalpy at 0 K in eV per atom: -0.008
Mass density in Mg/m³: 7.9
Fermi-level density of states in states/eV/atom: 1.382
Magnetic moment in μB/cell: 0.000
Excess energy over the best structure of this formula in the dataset in meV per atom: 11.8
Uncorrected energy in eV/atom: -4.40

---

(10)
Crystalline TlRh3 at its relaxed geometry, computed with PBE-GGA.

Cell lengths 2.9500, 2.9500, 8.7344 Å; angles 90.00, 90.00, 120.00 degrees
Space group P-6m2 (No. 187)
Symmetry-distinct sites (fractional):
Tl 0.0000 0.0000 0.0000 [1 per cell]
Rh 0.0000 0.0000 0.5000 [1 per cell]
Rh 0.3333 0.6667 0.2626 [2 per cell]

Formation enthalpy at 0 K in eV per atom: 0.356
Mass density in Mg/m³: 12.9
Fermi-level density of states in states/eV/atom: 1.690
Magnetic moment in μB/cell: 0.751
Uncorrected energy in eV/atom: -5.75

---

(11)
Crystalline Hf2UTcC4 at its relaxed geometry, computed with PBE-GGA.

Cell lengths 3.2897, 11.4892, 11.2513 Å; angles 90.00, 90.00, 90.00 degrees
Space group Cmcm (No. 63)
Symmetry-distinct sites (fractional):
Hf 0.0000 0.1305 0.0401 [8 per cell]
U 0.0000 0.3834 0.2500 [4 per cell]
Tc 0.0000 0.3547 0.7500 [4 per cell]
C 0.0000 0.0406 0.2500 [4 per cell]
C 0.0000 0.2345 0.6237 [8 per cell]
C 0.0000 0.5000 0.0000 [4 per cell]

Formation enthalpy at 0 K in eV per atom: -0.303
Mass density in Mg/m³: 11.6
Fermi-level density of states in states/eV/atom: 0.733
Magnetic moment in μB/cell: 4.608
Uncorrected energy in eV/atom: -10.11

---

(12)
Crystalline LaDyH4 at its relaxed geometry, computed with PBE-GGA.

Cell lengths 3.7950, 3.7950, 5.4794 Å; angles 90.00, 90.00, 90.00 degrees
Space group P4/mmm (No. 123)
Symmetry-distinct sites (fractional):
La 0.0000 0.0000 0.0000 [1 per cell]
Dy 0.5000 0.5000 0.5000 [1 per cell]
H 0.0000 0.5000 0.2737 [4 per cell]

Mass density in Mg/m³: 6.4
Fermi-level density of states in states/eV/atom: 0.292
Magnetic moment in μB/cell: 0.000
Uncorrected energy in eV/atom: -4.50

---

What did the second record say?
Crystalline K3CdAu3 at its relaxed geometry, computed with PBE-GGA.

Cell lengths 12.2435, 4.8059, 16.1934 Å; angles 90.00, 111.91, 90.00 degrees
Space group C2/m (No. 12)
Symmetry-distinct sites (fractional):
K 0.0208 0.0000 0.2708 [4 per cell]
K 0.1407 0.5000 0.1249 [4 per cell]
K 0.1790 0.0000 0.5754 [4 per cell]
Cd 0.1716 0.5000 0.9130 [4 per cell]
Au 0.0279 0.5000 0.4209 [4 per cell]
Au 0.0835 0.0000 0.9602 [4 per cell]
Au 0.1841 0.5000 0.7375 [4 per cell]

Formation enthalpy at 0 K in eV per atom: -0.296
Mass density in Mg/m³: 6.2
Fermi-level density of states in states/eV/atom: 0.292
Magnetic moment in μB/cell: 0.000
Excess energy over the best structure of this formula in the dataset in meV per atom: 0.0
Uncorrected energy in eV/atom: -2.30

---

Q: Which value of uncorrected energy does entry 6 give?
A: -6.49 eV/atom

---

Q: What is the formula in the fourth record?
A: Na2PtBr4